# Zr2Si4NiIr3 | Alexandria via LeMat-Bulk | PBE-GGA | relaxed
data_Zr2Si4NiIr3
_cell_length_a 3.928
_cell_length_b 3.928
_cell_length_c 10.123
_cell_angle_alpha 90.00
_cell_angle_beta 90.00
_cell_angle_gamma 90.00
_symmetry_space_group_name_H-M 'P -4 m 2'
_symmetry_Int_Tables_number 115
_symmetry_space_group_name_Hall 'P -4 -2'
loop_
_atom_site_label
_atom_site_fract_x
_atom_site_fract_y
_atom_site_fract_z
Zr1 0.000 0.500 0.239
Si1 0.000 0.000 0.500
Si2 0.000 0.500 0.866
Si3 0.500 0.500 0.500
Ni1 0.500 0.500 0.000
Ir1 0.000 0.000 0.000
Ir2 0.000 0.500 0.634
# **Energy**: -7.9725 eV per atom
# **DOS(E_F)**: 0.449 states/eV/atom
# **Uncorrected formation energy**: -0.857 eV per atom

# Zr2Si3NiIr4 | Alexandria via LeMat-Bulk | PBE-GGA | relaxed
data_Zr2Si3NiIr4
_cell_length_a 4.016
_cell_length_b 4.016
_cell_length_c 9.874
_cell_angle_alpha 90.00
_cell_angle_beta 90.00
_cell_angle_gamma 90.00
_symmetry_space_group_name_H-M 'P -4 m 2'
_symmetry_Int_Tables_number 115
_symmetry_space_group_name_Hall 'P -4 -2'
loop_
_atom_site_label
_atom_site_fract_x
_atom_site_fract_y
_atom_site_fract_z
Zr1 0.000 0.500 0.247
Si1 0.000 0.000 0.000
Si2 0.000 0.500 0.634
Ni1 0.500 0.500 0.000
Ir1 0.000 0.000 0.500
Ir2 0.000 0.500 0.865
Ir3 0.500 0.500 0.500
# **Energy**: -8.2539 eV per atom
# **DOS(E_F)**: 0.743 states/eV/atom
# **Uncorrected formation energy**: -0.795 eV per atom

Number 1: total moment 0.000 μB/atom. Number 2: total moment 0.000 μB/atom.